# 1
VASP calculation (GGA-PBE) on an optimized crystal structure of LaPuSc.

The space group is P3m1 (No. 156) and the conventional cell measures 3.4621, 3.4621 and 8.3522 Å, with angles of 90.00, 90.00 and 120.00 degrees. Symmetry generates all atoms from La at (0.0000, 0.0000, 0.0000), Pu at (0.6667, 0.3333, 0.3457) and Sc at (0.3333, 0.6667, 0.6592).

For the energy relative to the lowest polymorph listed for this composition, the calculation gives 26 meV per atom. For the formation energy, the calculation gives 0.17 eV/atom. For the density of states at the Fermi level, the calculation gives 8.91 states/eV per cell.

=====

# 2
VASP calculation (GGA-PBE) on an optimized crystal structure of LaPuSc.

The space group is I4mm (No. 107) and the conventional cell measures 3.481, 3.481 and 14.302 Å, with angles of 90.00, 90.00 and 90.00 degrees. Symmetry generates all atoms from La at (0.000, 0.000, 0.000), Pu at (0.000, 0.000, 0.675) and Sc at (0.000, 0.000, 0.326).

For the energy relative to the lowest polymorph listed for this composition, the calculation gives 0 meV per atom. For the formation energy, the calculation gives 0.14 eV/atom. For the density of states at the Fermi level, the calculation gives 14.24 states/eV per cell.

=====

# 3
VASP calculation (GGA-PBE) on an optimized crystal structure of La14PuSc.

The space group is Amm2 (No. 38) and the conventional cell measures 12.140, 11.999 and 7.690 Å, with angles of 90.00, 90.00 and 90.00 degrees. Symmetry generates all atoms from La at (0.000, 0.000, 0.000), La at (0.000, 0.000, 0.444), La at (0.000, 0.233, 0.758), La at (0.242, 0.242, 0.051), La at (0.260, 0.000, 0.784), La at (0.296, 0.000, 0.306), La at (0.500, 0.248, 0.753), Pu at (0.500, 0.000, 0.554) and Sc at (0.500, 0.000, 0.997).

For the formation energy, the calculation gives 0.10 eV/atom. For the density of states at the Fermi level, the calculation gives 59.31 states/eV per cell.

=====

# 4
VASP calculation (GGA-PBE) on an optimized crystal structure of La2PuScSe4.

The space group is P2/m (No. 10) and the conventional cell measures 7.196, 4.139 and 7.260 Å, with angles of 90.00, 109.06 and 90.00 degrees. Symmetry generates all atoms from La at (0.000, 0.000, 0.000), La at (0.500, 0.500, 0.000), Pu at (0.000, 0.500, 0.500), Sc at (0.500, 0.000, 0.500), Se at (0.253, 0.000, 0.730) and Se at (0.268, 0.500, 0.276).

The uncorrected formation energy comes out at -1.763 eV per atom. For the density of states at the Fermi level, the calculation gives 10.44 states/eV per cell.

=====

# 5
VASP calculation (GGA-PBE) on an optimized crystal structure of La3Pu3ScSe8.

The space group is R-3m (No. 166, hexagonal axes) and the conventional cell measures 8.3469, 8.3469 and 20.8444 Å, with angles of 90.00, 90.00 and 120.00 degrees. Symmetry generates all atoms from La at (0.0000, 0.5000, 0.0000), Pu at (0.0000, 0.5000, 0.5000), Sc at (0.0000, 0.0000, 0.5000), Se at (0.0000, 0.0000, 0.2457) and Se at (0.0124, 0.5062, 0.2435).

The uncorrected formation energy comes out at -1.758 eV per atom. For the density of states at the Fermi level, the calculation gives 101.33 states/eV per cell.

=====

# 6
VASP calculation (GGA-PBE) on an optimized crystal structure of LaTbPuSc.

The space group is F-43m (No. 216) and the conventional cell measures 7.828, 7.828 and 7.828 Å, with angles of 90.00, 90.00 and 90.00 degrees. Symmetry generates all atoms from La at (0.000, 0.000, 0.000), Tb at (0.000, 0.000, 0.500), Pu at (0.250, 0.250, 0.750) and Sc at (0.250, 0.250, 0.250).

For the formation energy, the calculation gives 0.20 eV/atom. For the density of states at the Fermi level, the calculation gives 51.14 states/eV per cell.